MgSiPd4 PBE relaxed; raw formation energy = -615 meV per atom; crystal system = orthorhombic; spin magnetization = 0.00 μB/f.u.; total DFT energy (no corrections) = -5.247 eV per atom; Fermi-level density of states = 0.20 states/eV/atom
1.0
2.954 0.000 0.000
0.000 7.131 0.000
0.000 0.000 17.139
Pd Si Mg
16 4 4
Cartesian
2.216 2.411 14.486
0.739 4.361 16.203
0.739 3.772 7.374
2.216 7.007 3.640
2.216 6.336 7.634
2.216 6.925 15.944
0.739 1.154 5.916
0.739 0.125 13.498
2.216 2.771 0.935
0.739 0.795 9.505
0.739 0.207 1.195
2.216 3.359 9.764
0.739 4.720 2.653
2.216 5.977 11.222
2.216 3.441 4.929
0.739 3.690 12.210
2.216 5.364 0.814
0.739 5.333 9.383
2.216 1.798 7.756
0.739 1.768 16.325
0.739 5.625 5.372
2.216 1.506 11.767
0.739 2.059 3.197
2.216 5.072 13.941